# VSe3O9

A relaxed structure of VSe3O9 (GGA+U, Alexandria via LeMat-Bulk).

Results
Its space-group type is Cc, No. 9. The value obtained for the energy is -147.3 eV/cell. The total magnetic moment comes out at 0.975 μB per formula unit. The calculation puts the density of states at the Fermi level at 0.34 states/eV/f.u.

Cell: 8.8630 8.8630 9.1111 Å, 118.11 118.11 45.35°
Positions (direct):
V1 0.2163 0.7837 0.5000
V2 0.7837 0.2163 0.0000
Se1 0.2214 0.3485 0.8102
Se2 0.3485 0.2214 0.3102
Se3 0.5665 0.6588 0.3417
Se4 0.6588 0.5665 0.8417
Se5 0.7724 0.9697 0.1716
Se6 0.9697 0.7724 0.6716
O1 0.0152 0.1599 0.0452
O2 0.0413 0.4691 0.9249
O3 0.0896 0.8656 0.6758
O4 0.1599 0.0152 0.5452
O5 0.1784 0.6000 0.8156
O6 0.2639 0.4546 0.4586
O7 0.3829 0.6314 0.3300
O8 0.4546 0.2639 0.9586
O9 0.4691 0.0413 0.4249
O10 0.5057 0.6251 0.6455
O11 0.5443 0.7893 0.9918
O12 0.6000 0.1784 0.3156
O13 0.6251 0.5057 0.1455
O14 0.6314 0.3829 0.8300
O15 0.7893 0.5443 0.4918
O16 0.8013 0.9862 0.8157
O17 0.8656 0.0896 0.1758
O18 0.9862 0.8013 0.3157

# VSeO4

A relaxed structure of VSeO4 (GGA+U, Alexandria via LeMat-Bulk).

Results
Its space-group type is P2_1/c, No. 14. The excess energy over the best structure of this formula in the dataset is 0.00 eV/f.u. The value obtained for the energy is -155.5 eV/cell. The total magnetic moment comes out at 1.000 μB per formula unit. The calculation puts the density of states at the Fermi level at 0.00 states/eV/f.u.

Cell: 3.9220 10.0221 8.2063 Å, 90.00 98.52 90.00°
Positions (direct):
V1 0.0119 0.0035 0.3037
V2 0.0119 0.4965 0.8037
V3 0.9881 0.5035 0.1963
V4 0.9881 0.9965 0.6963
Se1 0.1897 0.7094 0.5317
Se2 0.1897 0.7906 0.0317
Se3 0.8103 0.2094 0.9683
Se4 0.8103 0.2906 0.4683
O1 0.0175 0.1284 0.5023
O2 0.0175 0.3716 0.0023
O3 0.1229 0.1160 0.8959
O4 0.1229 0.3840 0.3959
O5 0.1278 0.6659 0.3267
O6 0.1278 0.8341 0.8267
O7 0.4379 0.5073 0.8019
O8 0.4379 0.9927 0.3019
O9 0.5621 0.0073 0.6981
O10 0.5621 0.4927 0.1981
O11 0.8722 0.1659 0.1733
O12 0.8722 0.3341 0.6733
O13 0.8771 0.6160 0.6041
O14 0.8771 0.8840 0.1041
O15 0.9825 0.6284 0.9977
O16 0.9825 0.8716 0.4977

# VSe2O5

A relaxed structure of VSe2O5 (GGA+U, Alexandria via LeMat-Bulk).

Results
Its space-group type is Pbcn, No. 60. The value obtained for the energy is -190.6 eV/cell. The total magnetic moment comes out at 3.000 μB per formula unit.

Cell: 6.9593 10.7192 6.3223 Å, 90.00 90.00 90.00°
Positions (direct):
V1 0.0000 0.0635 0.2500
V2 0.0000 0.9365 0.7500
V3 0.5000 0.4365 0.7500
V4 0.5000 0.5635 0.2500
Se1 0.1337 0.3450 0.0361
Se2 0.1337 0.6550 0.5361
Se3 0.3663 0.1550 0.5361
Se4 0.3663 0.8450 0.0361
Se5 0.6337 0.1550 0.9639
Se6 0.6337 0.8450 0.4639
Se7 0.8663 0.3450 0.4639
Se8 0.8663 0.6550 0.9639
O1 0.0000 0.4294 0.2500
O2 0.0000 0.5706 0.7500
O3 0.1571 0.0696 0.5502
O4 0.1571 0.9304 0.0502
O5 0.1956 0.2097 0.1584
O6 0.1956 0.7903 0.6584
O7 0.3044 0.2903 0.6584
O8 0.3044 0.7097 0.1584
O9 0.3429 0.4304 0.0502
O10 0.3429 0.5696 0.5502
O11 0.5000 0.0706 0.7500
O12 0.5000 0.9294 0.2500
O13 0.6571 0.4304 0.4498
O14 0.6571 0.5696 0.9498
O15 0.6956 0.2903 0.8416
O16 0.6956 0.7097 0.3416
O17 0.8044 0.2097 0.3416
O18 0.8044 0.7903 0.8416
O19 0.8429 0.0696 0.9498
O20 0.8429 0.9304 0.4498

- Which value of energy does entry 2 give?
  -155.5 eV/cell

- What is the formula in the second record?
  VSeO4